w:
# Zn3GaH | the Alexandria database | PBE | optimized geometry
data_Zn3GaH
_cell_length_a 4.782
_cell_length_b 4.782
_cell_length_c 4.782
_cell_angle_alpha 90.00
_cell_angle_beta 90.00
_cell_angle_gamma 90.00
_space_group_name_H-M_alt 'P 1'
_space_group_IT_number 1
_space_group_name_Hall 'P 1'
loop_
_atom_site_label
_atom_site_type_symbol
_atom_site_fract_x
_atom_site_fract_y
_atom_site_fract_z
Zn1 Zn 0.000 0.000 0.500
Zn2 Zn 0.000 0.500 0.000
Zn3 Zn 0.500 0.000 0.000
Ga1 Ga 0.000 0.000 0.000
H1 H 0.500 0.500 0.500
# DOS at the Fermi energy = 0.117 states/eV per atom
# Magnetic moment = 0.00 μB/f.u.

---

x:
# Zn3GaH | the Alexandria database | PBE | optimized geometry
data_Zn3GaH
_cell_length_a 4.098
_cell_length_b 4.098
_cell_length_c 4.098
_cell_angle_alpha 90.00
_cell_angle_beta 90.00
_cell_angle_gamma 90.00
_space_group_name_H-M_alt 'P 1'
_space_group_IT_number 1
_space_group_name_Hall 'P 1'
loop_
_atom_site_label
_atom_site_type_symbol
_atom_site_fract_x
_atom_site_fract_y
_atom_site_fract_z
Zn1 Zn 0.000 0.000 0.500
Zn2 Zn 0.000 0.500 0.000
Zn3 Zn 0.500 0.000 0.000
Ga1 Ga 0.500 0.500 0.500
H1 H 0.000 0.000 0.000
# DOS at the Fermi energy = 0.303 states/eV per atom
# Magnetic moment = 0.00 μB/f.u.

---

Referenced to the most stable arrangement, the calculated values in meV per atom are w 385; x 0.